Here is a geometry-optimized Y3Au structure from Alexandria via LeMat-Bulk. Energies are from GGA-PBEsol.

The space group is Pm-3m (No. 221) and the conventional cell measures 4.640, 4.640 and 4.640 Å, with angles of 90.00, 90.00 and 90.00 degrees. The inequivalent atoms are Y at (0.000, 0.000, 0.500) and Au at (0.500, 0.500, 0.500).

As for the crystal system: cubic. The value obtained for the calculated density is 7.708 Mg/m³. The value obtained for the magnetic moment is 0.000 μB per cell. The value obtained for the final energy is -6.361 eV per atom.